(1)
Compound: Li5Ag2Hg4
Source: the Alexandria database
Functional: GGA-PBE
Structure: relaxed

Values from the calculation:
* formation energy from the elements: -0.21 eV/atom
* energy: -1.71 eV/atom
* space group: No. 10
* N(E_F): 0.28 states/eV/atom
* polymorph energy (0 for the lowest one): 0 meV/atom
* magnetic moment: 0.00 μB/f.u.

Unit cell a=7.5664 b=3.1060 c=9.1380 alpha=90.00 beta=107.76 gamma=90.00
Positions (direct):
1 Li 0.0000 0.0000 0.0000
2 Li 0.0025 0.0000 0.6480
3 Li 0.4169 0.0000 0.1151
4 Li 0.5831 0.0000 0.8849
5 Li 0.9975 0.0000 0.3520
6 Ag 0.3474 0.0000 0.5897
7 Ag 0.6526 0.0000 0.4103
8 Hg 0.2583 0.5000 0.8587
9 Hg 0.2674 0.5000 0.2938
10 Hg 0.7326 0.5000 0.7062
11 Hg 0.7417 0.5000 0.1413

(2)
Compound: LiAgHg2
Source: the Alexandria database
Functional: GGA-PBE
Structure: relaxed

Values from the calculation:
* formation energy from the elements: 0.05 eV/atom
* energy: -1.30 eV/atom
* space group: No. 71
* N(E_F): 0.19 states/eV/atom
* magnetic moment: 0.00 μB/f.u.

Unit cell a=6.3764 b=6.3764 c=6.3764 alpha=151.63 beta=130.06 gamma=58.43
Positions (direct):
1 Li 0.0000 0.0000 0.0000
2 Ag 0.5000 0.5000 0.0000
3 Hg 0.2434 0.2434 0.0000
4 Hg 0.7566 0.7566 0.0000